Record 1
Computed, not measured: an optimized crystal structure of MnCo3Cu at the PBE level of DFT.

Cell lengths 4.2865, 4.2865, 4.2865 Å; angles 90.00, 90.00, 90.00 degrees
Positions (direct):
Mn  0.0000  0.0000  0.0000
Co  0.0000  0.5000  0.5000
Co  0.5000  0.0000  0.5000
Co  0.5000  0.5000  0.0000
Cu  0.5000  0.5000  0.5000

Computed properties:
Formation enthalpy at 0 K (meV/atom): 1267
Crystal system: cubic
Total moment (Bohr magnetons per cell): 9.416
Space-group type: Pm-3m
E above lowest polymorph (eV per atom): 0.015
N(E_F) (states/eV/cell): 13.862

Record 2
Computed, not measured: an optimized crystal structure of AcLa6Er2 at the PBE level of DFT.

Cell lengths 7.5995, 7.5995, 5.8049 Å; angles 90.00, 90.00, 103.11 degrees
Positions (direct):
Ac  0.0000  0.0000  0.0000
La  0.1935  0.4890  0.0000
La  0.2920  0.2920  0.5000
La  0.4890  0.1935  0.0000
La  0.5110  0.8065  0.0000
La  0.7080  0.7080  0.5000
La  0.8065  0.5110  0.0000
Er  0.2117  0.7883  0.5000
Er  0.7883  0.2117  0.5000

Computed properties:
Formation enthalpy at 0 K (meV/atom): 247
Crystal system: orthorhombic
Total moment (Bohr magnetons per cell): 0.002
Space-group type: Cmmm
N(E_F) (states/eV/cell): 15.497

Record 3
Computed, not measured: an optimized crystal structure of Al5Mo at the PBE level of DFT.

Cell lengths 4.7890, 4.7890, 4.7214 Å; angles 90.00, 90.00, 120.00 degrees
Positions (direct):
Al  0.0000  0.6799  0.0000
Al  0.3201  0.3201  0.0000
Al  0.3333  0.6667  0.5000
Al  0.6667  0.3333  0.5000
Al  0.6799  0.0000  0.0000
Mo  0.0000  0.0000  0.5000

Computed properties:
Formation enthalpy at 0 K (meV/atom): -127
Crystal system: hexagonal
Total moment (Bohr magnetons per cell): 0.000
Space-group type: P-62m
E above lowest polymorph (eV per atom): 0.123
N(E_F) (states/eV/cell): 2.711

Record 4
Computed, not measured: an optimized crystal structure of Mn2ZnS at the PBE level of DFT.

Cell lengths 4.0572, 4.0572, 4.0572 Å; angles 60.00, 60.00, 60.00 degrees
Positions (direct):
Mn  0.2500  0.2500  0.2500
Mn  0.7500  0.7500  0.7500
Zn  0.0000  0.0000  0.0000
S  0.5000  0.5000  0.5000

Computed properties:
Formation energy without anion corrections (eV/f.u.): 1.38
Crystal system: cubic
Total moment (Bohr magnetons per cell): 2.028
Space-group type: Fm-3m
E above lowest polymorph (eV per atom): 0.182
N(E_F) (states/eV/cell): 6.019

Record 5
Computed, not measured: an optimized crystal structure of FeSbTe3 at the PBE level of DFT.

Cell lengths 5.0473, 5.0473, 5.0473 Å; angles 90.00, 90.00, 90.00 degrees
Positions (direct):
Fe  0.0000  0.0000  0.0000
Sb  0.5000  0.5000  0.5000
Te  0.0000  0.0000  0.5000
Te  0.0000  0.5000  0.0000
Te  0.5000  0.0000  0.0000

Computed properties:
Formation energy without anion corrections (eV/f.u.): 2.10
Crystal system: cubic
Total moment (Bohr magnetons per cell): 0.000
Space-group type: Pm-3m
E above lowest polymorph (eV per atom): 0.000
N(E_F) (states/eV/cell): 9.054

Record 6
Computed, not measured: an optimized crystal structure of CrRu2Au at the PBE level of DFT.

Cell lengths 2.7457, 3.6800, 5.7471 Å; angles 90.00, 90.00, 90.00 degrees
Positions (direct):
Cr  0.0000  0.0000  0.0000
Ru  0.5000  0.5000  0.2167
Ru  0.5000  0.5000  0.7833
Au  0.0000  0.0000  0.5000

Computed properties:
Formation enthalpy at 0 K (meV/atom): 269
Crystal system: orthorhombic
Total moment (Bohr magnetons per cell): 0.326
Space-group type: Pmmm
E above lowest polymorph (eV per atom): 0.071
N(E_F) (states/eV/cell): 5.478

Record 7
Computed, not measured: an optimized crystal structure of CrMo2Os at the PBE level of DFT.

Cell lengths 2.6959, 2.6959, 8.5875 Å; angles 90.00, 90.00, 110.70 degrees
Positions (direct):
Cr  0.0000  0.0000  0.0000
Mo  0.5000  0.5000  0.2389
Mo  0.5000  0.5000  0.7611
Os  0.0000  0.0000  0.5000

Computed properties:
Formation enthalpy at 0 K (meV/atom): 214
Crystal system: orthorhombic
Total moment (Bohr magnetons per cell): 0.002
Space-group type: Cmmm
E above lowest polymorph (eV per atom): 0.097
N(E_F) (states/eV/cell): 5.559

Record 8
Computed, not measured: an optimized crystal structure of Y2AlGa4 at the PBE level of DFT.

Cell lengths 6.4952, 6.4952, 3.6992 Å; angles 90.00, 90.00, 90.00 degrees
Positions (direct):
Y  0.0000  0.5000  0.0000
Y  0.5000  0.0000  0.0000
Al  0.0000  0.0000  0.5000
Ga  0.2979  0.2979  0.5000
Ga  0.2979  0.7021  0.5000
Ga  0.7021  0.2979  0.5000
Ga  0.7021  0.7021  0.5000

Computed properties:
Formation enthalpy at 0 K (meV/atom): -297
Crystal system: tetragonal
Total moment (Bohr magnetons per cell): 0.000
Space-group type: P4/mmm
E above lowest polymorph (eV per atom): 0.127
N(E_F) (states/eV/cell): 4.212

Record 9
Computed, not measured: an optimized crystal structure of Er2Si2Ag at the PBE level of DFT.

Cell lengths 6.9379, 6.9379, 4.2306 Å; angles 90.00, 90.00, 90.00 degrees
Positions (direct):
Er  0.1758  0.3242  0.0000
Er  0.3242  0.8242  0.0000
Er  0.6758  0.1758  0.0000
Er  0.8242  0.6758  0.0000
Si  0.1215  0.6215  0.5000
Si  0.3785  0.1215  0.5000
Si  0.6215  0.8785  0.5000
Si  0.8785  0.3785  0.5000
Ag  0.0000  0.0000  0.5000
Ag  0.5000  0.5000  0.5000

Computed properties:
Formation energy without anion corrections (eV/f.u.): -3.33
Crystal system: tetragonal
Total moment (Bohr magnetons per cell): 0.000
Space-group type: P4/mbm
N(E_F) (states/eV/cell): 4.413

Record 10
Computed, not measured: an optimized crystal structure of ZnSnAs2Br at the PBE level of DFT.

Cell lengths 5.3728, 5.3728, 5.5853 Å; angles 90.00, 90.00, 90.00 degrees
Positions (direct):
Zn  0.0000  0.0000  0.0000
Sn  0.5000  0.5000  0.5000
As  0.0000  0.5000  0.5000
As  0.5000  0.0000  0.5000
Br  0.5000  0.5000  0.0000

Computed properties:
Formation energy without anion corrections (eV/f.u.): 3.24
Crystal system: tetragonal
Total moment (Bohr magnetons per cell): 1.631
Space-group type: P4/mmm
E above lowest polymorph (eV per atom): 0.317
N(E_F) (states/eV/cell): 4.293

Record 11
Computed, not measured: an optimized crystal structure of Tb6MgAl5 at the PBE level of DFT.

Cell lengths 8.1772, 8.1772, 7.2324 Å; angles 90.00, 90.00, 143.21 degrees
Positions (direct):
Tb  0.0000  0.0000  0.2438
Tb  0.0000  0.0000  0.7562
Tb  0.3301  0.6699  0.2492
Tb  0.3301  0.6699  0.7508
Tb  0.6699  0.3301  0.2492
Tb  0.6699  0.3301  0.7508
Mg  0.5000  0.5000  0.5000
Al  0.1604  0.8396  0.5000
Al  0.1655  0.8345  0.0000
Al  0.5000  0.5000  0.0000
Al  0.8345  0.1655  0.0000
Al  0.8396  0.1604  0.5000

Computed properties:
Formation enthalpy at 0 K (meV/atom): -362
Crystal system: orthorhombic
Total moment (Bohr magnetons per cell): 0.000
Space-group type: Cmmm
N(E_F) (states/eV/cell): 4.450

Record 12
Computed, not measured: an optimized crystal structure of Ac2Si2Ni2C at the PBE level of DFT.

Cell lengths 6.2025, 6.2025, 7.2250 Å; angles 124.95, 124.95, 38.71 degrees
Positions (direct):
Ac  0.0534  0.0534  0.2984
Ac  0.9466  0.9466  0.7016
Si  0.2975  0.2975  0.8963
Si  0.7025  0.7025  0.1037
Ni  0.3154  0.3154  0.2416
Ni  0.6846  0.6846  0.7584
C  0.5000  0.5000  0.5000

Computed properties:
Formation energy without anion corrections (eV/f.u.): -3.02
Crystal system: monoclinic
Total moment (Bohr magnetons per cell): 0.000
Space-group type: C2/m
N(E_F) (states/eV/cell): 3.602

Record 13
Computed, not measured: an optimized crystal structure of K2TiCdTe4 at the PBE level of DFT.

Cell lengths 7.1784, 7.1784, 7.1784 Å; angles 104.25, 104.25, 120.50 degrees
Positions (direct):
K  0.0000  0.5000  0.5000
K  0.5000  0.0000  0.5000
Ti  0.0000  0.0000  0.0000
Cd  0.5000  0.5000  0.0000
Te  0.0536  0.3945  0.0000
Te  0.3945  0.0536  0.0000
Te  0.6055  0.6055  0.6591
Te  0.9464  0.9464  0.3409

Computed properties:
Formation energy without anion corrections (eV/f.u.): -6.07
Crystal system: tetragonal
Total moment (Bohr magnetons per cell): 0.000
Space-group type: I-42m

Record 14
Computed, not measured: an optimized crystal structure of SnHgRuF2 at the PBE level of DFT.

Cell lengths 4.1529, 4.1529, 5.6786 Å; angles 90.00, 90.00, 90.00 degrees
Positions (direct):
Sn  0.0000  0.0000  0.0000
Hg  0.5000  0.5000  0.0000
Ru  0.5000  0.5000  0.5000
F  0.0000  0.5000  0.5000
F  0.5000  0.0000  0.5000

Computed properties:
Formation energy without anion corrections (eV/f.u.): -2.31
Crystal system: tetragonal
Total moment (Bohr magnetons per cell): 1.187
Space-group type: P4/mmm
N(E_F) (states/eV/cell): 5.037

Record 15
Computed, not measured: an optimized crystal structure of TiNi3Se at the PBE level of DFT.

Cell lengths 4.3836, 4.3836, 4.3836 Å; angles 90.00, 90.00, 90.00 degrees
Positions (direct):
Ti  0.0000  0.0000  0.0000
Ni  0.0000  0.0000  0.5000
Ni  0.0000  0.5000  0.0000
Ni  0.5000  0.0000  0.0000
Se  0.5000  0.5000  0.5000

Computed properties:
Formation energy without anion corrections (eV/f.u.): 4.74
Crystal system: cubic
Total moment (Bohr magnetons per cell): 0.000
Space-group type: Pm-3m
E above lowest polymorph (eV per atom): 0.598
N(E_F) (states/eV/cell): 2.599

Record 16
Computed, not measured: an optimized crystal structure of Pm3S2O2 at the PBE level of DFT.

Cell lengths 7.7189, 7.7189, 11.2947 Å; angles 120.63, 120.63, 29.11 degrees
Positions (direct):
Pm  0.1013  0.1013  0.1664
Pm  0.1365  0.1365  0.7926
Pm  0.3972  0.3972  0.5401
Pm  0.6028  0.6028  0.4599
Pm  0.8635  0.8635  0.2074
Pm  0.8987  0.8987  0.8336
S  0.2567  0.2567  0.6535
S  0.3942  0.3942  0.0291
S  0.6058  0.6058  0.9709
S  0.7433  0.7433  0.3465
O  0.0471  0.0471  0.3216
O  0.4199  0.4199  0.3505
O  0.5801  0.5801  0.6495
O  0.9529  0.9529  0.6784

Computed properties:
Formation energy without anion corrections (eV/f.u.): -18.76
Crystal system: monoclinic
Total moment (Bohr magnetons per cell): 1.292
Space-group type: C2/m
E above lowest polymorph (eV per atom): 0.000
N(E_F) (states/eV/cell): 3.885

Record 17
Computed, not measured: an optimized crystal structure of Ti2BiSbRu at the PBE level of DFT.

Cell lengths 4.8626, 4.8626, 4.9477 Å; angles 90.00, 90.00, 90.00 degrees
Positions (direct):
Ti  0.0000  0.5000  0.0000
Ti  0.5000  0.0000  0.0000
Bi  0.0000  0.0000  0.5000
Sb  0.5000  0.5000  0.5000
Ru  0.5000  0.5000  0.0000

Computed properties:
Formation energy without anion corrections (eV/f.u.): 1.19
Crystal system: tetragonal
Total moment (Bohr magnetons per cell): 0.091
Space-group type: P4/mmm
N(E_F) (states/eV/cell): 5.065

Record 18
Computed, not measured: an optimized crystal structure of CoSnTe2N at the PBE level of DFT.

Cell lengths 5.8337, 5.8337, 3.8770 Å; angles 90.00, 90.00, 90.00 degrees
Positions (direct):
Co  0.0000  0.0000  0.0000
Sn  0.5000  0.5000  0.5000
Te  0.0000  0.5000  0.5000
Te  0.5000  0.0000  0.5000
N  0.5000  0.5000  0.0000

Computed properties:
Formation energy without anion corrections (eV/f.u.): 6.27
Crystal system: tetragonal
Total moment (Bohr magnetons per cell): 3.048
Space-group type: P4/mmm
E above lowest polymorph (eV per atom): 1.029
N(E_F) (states/eV/cell): 5.232

Record 19
Computed, not measured: an optimized crystal structure of CoRe2Br at the PBE level of DFT.

Cell lengths 2.8570, 4.5736, 4.6726 Å; angles 90.00, 90.00, 90.00 degrees
Positions (direct):
Co  0.0000  0.0000  0.0000
Re  0.0000  0.5000  0.5000
Re  0.5000  0.0000  0.5000
Br  0.5000  0.5000  0.0000

Computed properties:
Formation energy without anion corrections (eV/f.u.): 4.56
Crystal system: orthorhombic
Total moment (Bohr magnetons per cell): 1.514
Space-group type: Pmmm
E above lowest polymorph (eV per atom): 0.601
N(E_F) (states/eV/cell): 5.394

Record 20
Computed, not measured: an optimized crystal structure of Li2Hg2Rh at the PBE level of DFT.

Cell lengths 7.2582, 7.2582, 3.3420 Å; angles 90.00, 90.00, 90.00 degrees
Positions (direct):
Li  0.1609  0.3391  0.0000
Li  0.3391  0.8391  0.0000
Li  0.6609  0.1609  0.0000
Li  0.8391  0.6609  0.0000
Hg  0.1454  0.6454  0.5000
Hg  0.3546  0.1454  0.5000
Hg  0.6454  0.8546  0.5000
Hg  0.8546  0.3546  0.5000
Rh  0.0000  0.0000  0.5000
Rh  0.5000  0.5000  0.5000

Computed properties:
Formation enthalpy at 0 K (meV/atom): -83
Crystal system: tetragonal
Total moment (Bohr magnetons per cell): 0.000
Space-group type: P4/mbm
E above lowest polymorph (eV per atom): 0.016
N(E_F) (states/eV/cell): 4.349

Record 21
Computed, not measured: an optimized crystal structure of ThSc2F at the PBE level of DFT.

Cell lengths 8.5122, 8.5122, 8.5122 Å; angles 23.23, 23.23, 23.23 degrees
Positions (direct):
Th  0.0000  0.0000  0.0000
Sc  0.2261  0.2261  0.2261
Sc  0.7739  0.7739  0.7739
F  0.5000  0.5000  0.5000

Computed properties:
Formation energy without anion corrections (eV/f.u.): -4.31
Crystal system: trigonal
Total moment (Bohr magnetons per cell): 0.001
Space-group type: R-3m
N(E_F) (states/eV/cell): 4.974

Record 22
Computed, not measured: an optimized crystal structure of Pr2NdEr6Tm3 at the PBE level of DFT.

Cell lengths 6.1576, 6.1576, 11.7318 Å; angles 95.01, 95.01, 119.96 degrees
Positions (direct):
Pr  0.1667  0.8333  0.0000
Pr  0.8333  0.1667  0.0000
Nd  0.5000  0.5000  0.0000
Er  0.0806  0.4137  0.7444
Er  0.2531  0.2531  0.2556
Er  0.4137  0.0806  0.7444
Er  0.5863  0.9194  0.2556
Er  0.7469  0.7469  0.7444
Er  0.9194  0.5863  0.2556
Tm  0.0000  0.0000  0.5000
Tm  0.3334  0.6666  0.5000
Tm  0.6666  0.3334  0.5000

Computed properties:
Formation enthalpy at 0 K (meV/atom): 26
Crystal system: monoclinic
Total moment (Bohr magnetons per cell): 0.000
Space-group type: C2/m
N(E_F) (states/eV/cell): 16.730

Record 23
Computed, not measured: an optimized crystal structure of K2BaMn at the PBE level of DFT.

Cell lengths 13.7258, 13.7258, 13.7258 Å; angles 17.75, 17.75, 17.75 degrees
Positions (direct):
K  0.2360  0.2360  0.2360
K  0.7640  0.7640  0.7640
Ba  0.0000  0.0000  0.0000
Mn  0.5000  0.5000  0.5000

Computed properties:
Formation enthalpy at 0 K (meV/atom): 702
Crystal system: trigonal
Total moment (Bohr magnetons per cell): 5.220
Space-group type: R-3m
E above lowest polymorph (eV per atom): 0.222
N(E_F) (states/eV/cell): 5.295

Record 24
Computed, not measured: an optimized crystal structure of Pu2CdHgO8 at the PBE level of DFT.

Cell lengths 6.1333, 6.1333, 5.8376 Å; angles 90.00, 90.00, 120.00 degrees
Positions (direct):
Pu  0.3333  0.6667  0.4333
Pu  0.6667  0.3333  0.5667
Cd  0.0000  0.0000  0.0000
Hg  0.0000  0.0000  0.5000
O  0.0631  0.3880  0.6525
O  0.3249  0.9369  0.6525
O  0.3333  0.6667  0.1180
O  0.3880  0.3249  0.3475
O  0.6120  0.6751  0.6525
O  0.6667  0.3333  0.8820
O  0.6751  0.0631  0.3475
O  0.9369  0.6120  0.3475

Computed properties:
Formation energy without anion corrections (eV/f.u.): -16.96
Crystal system: trigonal
Total moment (Bohr magnetons per cell): 3.231
Space-group type: P-3
N(E_F) (states/eV/cell): 9.509

Record 25
Computed, not measured: an optimized crystal structure of Sr2NbPIr at the PBE level of DFT.

Cell lengths 5.8281, 5.8281, 4.3412 Å; angles 90.00, 90.00, 90.00 degrees
Positions (direct):
Sr  0.0000  0.5000  0.0000
Sr  0.5000  0.0000  0.0000
Nb  0.0000  0.0000  0.5000
P  0.5000  0.5000  0.0000
Ir  0.5000  0.5000  0.5000

Computed properties:
Formation enthalpy at 0 K (meV/atom): 334
Crystal system: tetragonal
Total moment (Bohr magnetons per cell): 4.083
Space-group type: P4/mmm
N(E_F) (states/eV/cell): 3.716